Computed, not measured: LiTaSiOs after structural relaxation at the PBE level of DFT.

Total magnetization ... 0.0 μB per formula unit
ΔE to the lowest computed polymorph ... 0.00 eV per formula unit

a = 4.288 Å, b = 4.288 Å, c = 4.288 Å
α = 60.00°, β = 60.00°, γ = 60.00°
Element x y z (fractional)
Li1 0.000 0.000 0.000
Ta1 0.250 0.250 0.250
Si1 0.750 0.750 0.750
Os1 0.500 0.500 0.500